NpTl2Re3O12: optimized geometry, PBE-GGA.

Geometry as extended XYZ:
```
18
Lattice="3.663 2.115 6.261 -3.663 2.115 6.261 0.000 -4.230 6.261" Properties=species:S:1:pos:R:3 pbc="T T T"
Np 0.000 0.000 0.000
Tl 0.000 0.000 6.507
Tl 0.000 0.000 12.275
Re -3.663 0.000 9.391
Re -1.832 1.058 3.130
Re 1.832 1.058 3.130
O -2.323 -1.341 9.160
O 0.000 -2.484 5.071
O -2.151 1.242 5.071
O 0.000 -2.682 9.621
O -2.323 1.341 9.621
O -2.151 -1.242 13.711
O 2.151 1.242 5.071
O 2.323 -1.341 9.160
O 0.000 2.682 9.160
O 2.151 -1.242 13.711
O 0.000 2.484 13.711
O 2.323 1.341 9.621
```

Values from the calculation:
Total magnetization = 2.87 μB per formula unit
SG = No. 166
Electronic total energy = -8.059 eV per atom
Energy relative to the elements, uncorrected = -30.54 eV/f.u.